No. 1
A plane-wave DFT calculation with PBE was carried out for a relaxed structure of PmIn2Hg.

```
PmIn2Hg
1.0
4.680 0.000 0.000
0.000 4.680 0.000
0.000 0.000 4.653
Pm In Hg
1 2 1
direct
0.000 0.000 0.000
0.000 0.500 0.500
0.500 0.000 0.500
0.500 0.500 0.000
```

Computed properties:
For the energy relative to the lowest polymorph listed for this composition, the calculation gives 0 meV/atom. The calculation puts the energy of formation at -9.96 kcal/mol of atoms. The calculation puts the mass density at 9.37 Mg/m³.



No. 2
A plane-wave DFT calculation with PBE was carried out for a relaxed structure of NaLi2SF.

```
NaLi2SF
1.0
4.015 0.000 0.000
0.000 4.015 0.000
0.000 0.000 4.311
Na Li S F
1 2 1 1
direct
0.000 0.000 0.000
0.000 0.500 0.500
0.500 0.000 0.500
0.500 0.500 0.000
0.000 0.000 0.500
```

Computed properties:
Its formation energy without anion corrections is -1.766 eV per atom. The calculation puts the mass density at 2.10 Mg/m³.



No. 3
A plane-wave DFT calculation with PBE was carried out for a relaxed structure of CaNi2W.

```
CaNi2W
1.0
3.105 0.000 0.000
0.000 3.105 0.000
0.000 0.000 6.857
Ca Ni W
1 2 1
direct
0.000 0.000 0.000
0.000 0.000 0.474
0.500 0.500 0.294
0.500 0.500 0.654
```

Computed properties:
For the energy relative to the lowest polymorph listed for this composition, the calculation gives 212 meV/atom. The calculation puts the energy of formation at 8.51 kcal/mol of atoms. The calculation puts the mass density at 8.57 Mg/m³.